Entry 1:
DFT (PBE-GGA) results for a geometry-optimized AgGeTe structure.

Cell: 6.9081 6.9081 6.9081 Å, 90.00 90.00 90.00°
Atoms (fractional coordinates):
Ag: 0.0000 0.0000 0.0000
Ag: 0.0000 0.5000 0.5000
Ag: 0.5000 0.0000 0.5000
Ag: 0.5000 0.5000 0.0000
Ge: 0.0000 0.0000 0.5000
Ge: 0.0000 0.5000 0.0000
Ge: 0.5000 0.0000 0.0000
Ge: 0.5000 0.5000 0.5000
Te: 0.2500 0.2500 0.7500
Te: 0.2500 0.7500 0.2500
Te: 0.7500 0.2500 0.2500
Te: 0.7500 0.7500 0.7500

Computed properties:
Crystal system: cubic
Calculated volume: 82.4 Å³/f.u.
Energy: -38.81 eV/cell

Entry 2:
DFT (PBE-GGA) results for a geometry-optimized LaSi2AgPd structure.

Cell: 4.2729 4.2729 10.3576 Å, 90.00 90.00 90.00°
Atoms (fractional coordinates):
La: 0.0000 0.0000 0.0000
La: 0.5000 0.5000 0.5000
Si: 0.0000 0.0000 0.3865
Si: 0.0000 0.0000 0.6135
Si: 0.5000 0.5000 0.1135
Si: 0.5000 0.5000 0.8865
Ag: 0.0000 0.5000 0.7500
Ag: 0.5000 0.0000 0.2500
Pd: 0.0000 0.5000 0.2500
Pd: 0.5000 0.0000 0.7500

Computed properties:
Crystal system: tetragonal
Calculated volume: 94.6 Å³/f.u.
Energy: -54.51 eV/cell

Entry 3:
DFT (PBE-GGA) results for a geometry-optimized Li2Tl2Cd2IrPt structure.

Cell: 4.6640 4.6640 6.5963 Å, 90.00 90.00 90.00°
Atoms (fractional coordinates):
Li: 0.0000 0.0000 0.0000
Li: 0.5000 0.5000 0.5000
Tl: 0.0000 0.5000 0.2453
Tl: 0.5000 0.0000 0.7547
Cd: 0.0000 0.5000 0.7519
Cd: 0.5000 0.0000 0.2481
Ir: 0.5000 0.5000 0.0000
Pt: 0.0000 0.0000 0.5000

Computed properties:
Crystal system: tetragonal
Calculated volume: 143.5 Å³/f.u.
Energy: -26.77 eV/cell

Entry 4:
DFT (PBE-GGA) results for a geometry-optimized Ge3IrPt structure.

Cell: 4.1149 4.1149 11.2437 Å, 90.00 90.00 90.00°
Atoms (fractional coordinates):
Ge: 0.0000 0.0000 0.0000
Ge: 0.0000 0.5000 0.3394
Ge: 0.0000 0.5000 0.8394
Ge: 0.5000 0.0000 0.3394
Ge: 0.5000 0.0000 0.8394
Ge: 0.5000 0.5000 0.5000
Ir: 0.0000 0.0000 0.2128
Ir: 0.5000 0.5000 0.7128
Pt: 0.0000 0.0000 0.6878
Pt: 0.5000 0.5000 0.1878

Computed properties:
Crystal system: tetragonal
Calculated volume: 95.2 Å³/f.u.
Energy: -56.97 eV/cell

Entry 5:
DFT (PBE-GGA) results for a geometry-optimized ErZrFe structure.

Cell: 6.3528 6.3528 6.3528 Å, 90.00 90.00 90.00°
Atoms (fractional coordinates):
Er: 0.0000 0.0000 0.0000
Er: 0.0000 0.5000 0.5000
Er: 0.5000 0.0000 0.5000
Er: 0.5000 0.5000 0.0000
Zr: 0.0000 0.0000 0.5000
Zr: 0.0000 0.5000 0.0000
Zr: 0.5000 0.0000 0.0000
Zr: 0.5000 0.5000 0.5000
Fe: 0.2500 0.2500 0.2500
Fe: 0.2500 0.7500 0.7500
Fe: 0.7500 0.2500 0.7500
Fe: 0.7500 0.7500 0.2500

Computed properties:
Energy of formation from the pure elements: 150 meV per atom
Crystal system: cubic
Calculated volume: 64.1 Å³/f.u.
Excess energy over the best structure of this formula in the dataset: 0.00 eV per formula unit

Entry 6:
DFT (PBE-GGA) results for a geometry-optimized NbCuAgBi structure.

Cell: 6.8075 6.8075 6.8075 Å, 90.00 90.00 90.00°
Atoms (fractional coordinates):
Nb: 0.0000 0.0000 0.0000
Nb: 0.0000 0.5000 0.5000
Nb: 0.5000 0.0000 0.5000
Nb: 0.5000 0.5000 0.0000
Cu: 0.2500 0.2500 0.7500
Cu: 0.2500 0.7500 0.2500
Cu: 0.7500 0.2500 0.2500
Cu: 0.7500 0.7500 0.7500
Ag: 0.2500 0.2500 0.2500
Ag: 0.2500 0.7500 0.7500
Ag: 0.7500 0.2500 0.7500
Ag: 0.7500 0.7500 0.2500
Bi: 0.0000 0.0000 0.5000
Bi: 0.0000 0.5000 0.0000
Bi: 0.5000 0.0000 0.0000
Bi: 0.5000 0.5000 0.5000

Computed properties:
Crystal system: cubic
Calculated volume: 78.9 Å³/f.u.
Excess energy over the best structure of this formula in the dataset: 0.44 eV per formula unit